5
Lattice="3.706 0.000 0.000 0.000 3.706 0.000 0.000 0.000 5.414" Properties=species:S:1:pos:R:3 comment="NiOsIO2 | the Alexandria database | GGA+U | optimized geometry" spacegroup="P4/mmm, No. 123" relative_energy_mev_per_atom=1372 pbc="T T T"
Ni 0.000 0.000 0.000
Os 1.853 1.853 2.707
I 0.000 0.000 2.707
O 0.000 1.853 0.000
O 1.853 0.000 0.000